w) ## KTcSe (GGA-PBE)

Data for KTcSe after structural relaxation.

a = 7.180 Å, b = 7.180 Å, c = 7.180 Å
α = 90.00°, β = 90.00°, γ = 90.00°
Space group F-43m (No. 216)
Symmetry-distinct sites (fractional):
K (0.000, 0.000, 0.000) (multiplicity 4)
Tc (0.250, 0.250, 0.250) (multiplicity 4)
Se (0.250, 0.250, 0.750) (multiplicity 4)

Summary:
D(E_F)   22.813 states/eV/cell
Size of the total moment   17.9 μB per cell
Calculated volume   370.08 Å³ per cell
ρ   3.88 g/cm³


x) ## KTcSe (GGA-PBE)

Data for KTcSe after structural relaxation.

a = 6.918 Å, b = 6.918 Å, c = 6.918 Å
α = 90.00°, β = 90.00°, γ = 90.00°
Space group F-43m (No. 216)
Symmetry-distinct sites (fractional):
K (0.000, 0.000, 0.000) (multiplicity 4)
Tc (0.000, 0.000, 0.500) (multiplicity 4)
Se (0.250, 0.250, 0.750) (multiplicity 4)

Summary:
D(E_F)   13.817 states/eV/cell
Size of the total moment   16.2 μB per cell
Calculated volume   331.04 Å³ per cell
ρ   4.34 g/cm³


y) ## KTcSe (GGA-PBE)

Data for KTcSe after structural relaxation.

a = 3.4022 Å, b = 3.4022 Å, c = 7.0708 Å
α = 90.00°, β = 90.00°, γ = 120.00°
Space group P3m1 (No. 156)
Symmetry-distinct sites (fractional):
K (0.0000, 0.0000, 0.0000) (multiplicity 1)
Tc (0.3333, 0.6667, 0.5822) (multiplicity 1)
Se (0.6667, 0.3333, 0.3768) (multiplicity 1)

Summary:
D(E_F)   1.253 states/eV/cell
Size of the total moment   0.9 μB per cell
Calculated volume   70.88 Å³ per cell
ρ   5.06 g/cm³


Going by the energies, y) is most stable and the next is 487 meV/atom up.


w) ## K3TeSe (GGA-PBE)

Data for K3TeSe after structural relaxation.

a = 6.184 Å, b = 6.184 Å, c = 6.184 Å
α = 90.00°, β = 90.00°, γ = 90.00°
Space group Pm-3m (No. 221)
Symmetry-distinct sites (fractional):
K (0.000, 0.000, 0.500) (multiplicity 3)
Te (0.500, 0.500, 0.500) (multiplicity 1)
Se (0.000, 0.000, 0.000) (multiplicity 1)

Summary:
D(E_F)   8.181 states/eV/cell
Size of the total moment   1.0 μB per cell
Calculated volume   236.52 Å³ per cell
ρ   2.27 g/cm³


x) ## K3TeSe (GGA-PBE)

Data for K3TeSe after structural relaxation.

a = 5.240 Å, b = 9.399 Å, c = 7.467 Å
α = 90.00°, β = 90.00°, γ = 90.00°
Space group Pmmn (No. 59, origin choice 2)
Symmetry-distinct sites (fractional):
K (0.250, 0.056, 0.234) (multiplicity 4)
K (0.250, 0.250, 0.749) (multiplicity 2)
Te (0.250, 0.750, 0.545) (multiplicity 2)
Se (0.250, 0.750, 0.985) (multiplicity 2)

Summary:
D(E_F)   3.738 states/eV/cell
Size of the total moment   0.9 μB per cell
Calculated volume   367.77 Å³ per cell
ρ   2.92 g/cm³


Going by the energies, x) is most stable and the next is 149 meV/atom up.


w) ## K2Te2Se (GGA-PBE)

Data for K2Te2Se after structural relaxation.

a = 6.892 Å, b = 6.892 Å, c = 8.518 Å
α = 90.00°, β = 90.00°, γ = 90.00°
Space group I4/mmm (No. 139)
Symmetry-distinct sites (fractional):
K (0.000, 0.500, 0.250) (multiplicity 4)
Te (0.000, 0.000, 0.173) (multiplicity 4)
Se (0.000, 0.000, 0.500) (multiplicity 2)

Summary:
D(E_F)   12.231 states/eV/cell
Size of the total moment   0.0 μB per cell
Calculated volume   404.59 Å³ per cell
ρ   3.38 g/cm³


x) ## K2Te2Se (GGA-PBE)

Data for K2Te2Se after structural relaxation.

a = 8.162 Å, b = 8.162 Å, c = 5.271 Å
α = 90.00°, β = 90.00°, γ = 90.00°
Space group P4/mbm (No. 127)
Symmetry-distinct sites (fractional):
K (0.180, 0.320, 0.000) (multiplicity 4)
Te (0.124, 0.624, 0.500) (multiplicity 4)
Se (0.000, 0.000, 0.500) (multiplicity 2)

Summary:
D(E_F)   0.000 states/eV/cell
Size of the total moment   0.0 μB per cell
Calculated volume   351.16 Å³ per cell
ρ   3.90 g/cm³


Going by the energies, x) is most stable and the next is 19 meV/atom up.


w) ## KTeSe (GGA-PBE)

Data for KTeSe after structural relaxation.

a = 3.3525 Å, b = 3.3525 Å, c = 9.6392 Å
α = 90.00°, β = 90.00°, γ = 120.00°
Space group P3m1 (No. 156)
Symmetry-distinct sites (fractional):
K (0.0000, 0.0000, 0.0000) (multiplicity 1)
Te (0.3333, 0.6667, 0.6916) (multiplicity 1)
Se (0.6667, 0.3333, 0.2679) (multiplicity 1)

Summary:
D(E_F)   2.356 states/eV/cell
Size of the total moment   0.0 μB per cell
Calculated volume   93.82 Å³ per cell
ρ   4.35 g/cm³


x) ## KTeSe (GGA-PBE)

Data for KTeSe after structural relaxation.

a = 4.417 Å, b = 6.090 Å, c = 8.756 Å
α = 72.52°, β = 89.97°, γ = 68.77°
Space group P-1 (No. 2)
Symmetry-distinct sites (fractional):
K (0.240, 0.022, 0.271) (multiplicity 2)
Te (0.000, 0.500, 0.500) (multiplicity 1)
Te (0.500, 0.500, 0.000) (multiplicity 1)
Se (0.080, 0.339, 0.841) (multiplicity 2)

Summary:
D(E_F)   0.796 states/eV/cell
Size of the total moment   0.0 μB per cell
Calculated volume   207.85 Å³ per cell
ρ   3.93 g/cm³


y) ## KTeSe (GGA-PBE)

Data for KTeSe after structural relaxation.

a = 5.8298 Å, b = 5.8298 Å, c = 2.9851 Å
α = 90.00°, β = 90.00°, γ = 120.00°
Space group P-6m2 (No. 187)
Symmetry-distinct sites (fractional):
K (0.0000, 0.0000, 0.0000) (multiplicity 1)
Te (0.3333, 0.6667, 0.5000) (multiplicity 1)
Se (0.6667, 0.3333, 0.5000) (multiplicity 1)

Summary:
D(E_F)   1.650 states/eV/cell
Size of the total moment   0.0 μB per cell
Calculated volume   87.86 Å³ per cell
ρ   4.64 g/cm³


z) ## KTeSe (GGA-PBE)

Data for KTeSe after structural relaxation.

a = 3.154 Å, b = 3.154 Å, c = 18.080 Å
α = 90.00°, β = 90.00°, γ = 90.00°
Space group I4mm (No. 107)
Symmetry-distinct sites (fractional):
K (0.000, 0.000, 0.000) (multiplicity 2)
Te (0.000, 0.000, 0.659) (multiplicity 2)
Se (0.000, 0.000, 0.366) (multiplicity 2)

Summary:
D(E_F)   5.085 states/eV/cell
Size of the total moment   0.0 μB per cell
Calculated volume   179.87 Å³ per cell
ρ   4.54 g/cm³


Going by the energies, x) is most stable and the next is 323 meV/atom up.


w) ## KTeSe (GGA-PBE)

Data for KTeSe after structural relaxation.

a = 7.512 Å, b = 7.512 Å, c = 7.512 Å
α = 90.00°, β = 90.00°, γ = 90.00°
Space group F-43m (No. 216)
Symmetry-distinct sites (fractional):
K (0.000, 0.000, 0.000) (multiplicity 4)
Te (0.000, 0.000, 0.500) (multiplicity 4)
Se (0.250, 0.250, 0.250) (multiplicity 4)

Summary:
D(E_F)   11.153 states/eV/cell
Size of the total moment   0.0 μB per cell
Calculated volume   423.87 Å³ per cell
ρ   3.85 g/cm³


x) ## KTeSe (GGA-PBE)

Data for KTeSe after structural relaxation.

a = 7.489 Å, b = 7.489 Å, c = 7.489 Å
α = 90.00°, β = 90.00°, γ = 90.00°
Space group F-43m (No. 216)
Symmetry-distinct sites (fractional):
K (0.000, 0.000, 0.000) (multiplicity 4)
Te (0.250, 0.250, 0.250) (multiplicity 4)
Se (0.250, 0.250, 0.750) (multiplicity 4)

Summary:
D(E_F)   12.021 states/eV/cell
Size of the total moment   0.0 μB per cell
Calculated volume   420.03 Å³ per cell
ρ   3.88 g/cm³


y) ## KTeSe (GGA-PBE)

Data for KTeSe after structural relaxation.

a = 3.767 Å, b = 5.287 Å, c = 11.550 Å
α = 90.00°, β = 90.00°, γ = 90.00°
Space group Imm2 (No. 44)
Symmetry-distinct sites (fractional):
K (0.000, 0.000, 0.000) (multiplicity 2)
Te (0.000, 0.000, 0.358) (multiplicity 2)
Se (0.000, 0.000, 0.575) (multiplicity 2)

Summary:
D(E_F)   3.224 states/eV/cell
Size of the total moment   0.0 μB per cell
Calculated volume   230.03 Å³ per cell
ρ   3.55 g/cm³


z) ## KTeSe (GGA-PBE)

Data for KTeSe after structural relaxation.

a = 4.190 Å, b = 4.190 Å, c = 11.848 Å
α = 90.00°, β = 90.00°, γ = 90.00°
Space group I4mm (No. 107)
Symmetry-distinct sites (fractional):
K (0.000, 0.000, 0.000) (multiplicity 2)
Te (0.000, 0.000, 0.279) (multiplicity 2)
Se (0.000, 0.000, 0.736) (multiplicity 2)

Summary:
D(E_F)   2.520 states/eV/cell
Size of the total moment   0.0 μB per cell
Calculated volume   208.01 Å³ per cell
ρ   3.92 g/cm³


Going by the energies, y) is most stable and the next is 18 meV/atom up.


w) ## KTeSe (GGA-PBE)

Data for KTeSe after structural relaxation.

a = 5.139 Å, b = 6.892 Å, c = 14.831 Å
α = 90.00°, β = 90.00°, γ = 90.00°
Space group Immm (No. 71)
Symmetry-distinct sites (fractional):
K (0.000, 0.000, 0.146) (multiplicity 4)
Te (0.000, 0.280, 0.500) (multiplicity 4)
Se (0.000, 0.000, 0.367) (multiplicity 4)

Summary:
D(E_F)   11.289 states/eV/cell
Size of the total moment   0.0 μB per cell
Calculated volume   525.31 Å³ per cell
ρ   3.11 g/cm³


x) ## KTeSe (GGA-PBE)

Data for KTeSe after structural relaxation.

a = 4.985 Å, b = 6.632 Å, c = 7.177 Å
α = 91.36°, β = 91.09°, γ = 97.68°
Space group P-1 (No. 2)
Symmetry-distinct sites (fractional):
K (0.200, 0.243, 0.224) (multiplicity 2)
Te (0.217, 0.326, 0.731) (multiplicity 2)
Se (0.295, 0.758, 0.149) (multiplicity 2)

Summary:
D(E_F)   0.832 states/eV/cell
Size of the total moment   0.0 μB per cell
Calculated volume   235.03 Å³ per cell
ρ   3.47 g/cm³


Going by the energies, x) is most stable and the next is 231 meV/atom up.